Entry from the Alexandria database: a crystal of TaAu5 relaxed with PBEsol (SCAN).

Cell: 4.9266 4.9266 4.8116 Å, 90.00 90.00 120.00°
Space group P-62m (No. 189)
Asymmetric unit:
Ta1 0.0000 0.0000 0.0000 x1
Au1 0.0000 0.6790 0.5000 x3
Au2 0.3333 0.6667 0.0000 x2

Summary:
Theoretical density: 19.14 Mg/m³
Energy of formation: -0.092 eV/atom